# 1
A relaxed structure of LiPmMg2Ag4. Source: Alexandria via LeMat-Bulk, functional PBE.

Formation energy from the elements   -0.24 eV/atom
Magnetization   0.0 μB per cell

Lattice parameters (Å, degrees): 4.7717 4.7717 24.7171 90.00 90.00 120.00
Space group R-3m (No. 166, hexagonal axes)
Unique sites:
Li  0.0000  0.0000  0.0000
Pm  0.0000  0.0000  0.5000
Mg  0.0000  0.0000  0.2552
Ag  0.0000  0.0000  0.1061
Ag  0.0000  0.0000  0.3718



# 2
A relaxed structure of CrAgBr2. Source: Alexandria via LeMat-Bulk, functional PBE.

Raw formation energy   -0.07 eV/atom
Magnetization   9.9 μB per cell

Lattice parameters (Å, degrees): 7.226 4.016 7.111 90.00 108.25 90.00
Space group C2/m (No. 12)
Unique sites:
Cr  0.000  0.000  0.000
Ag  0.000  0.500  0.500
Br  0.225  0.500  0.230



# 3
A relaxed structure of Sm4BiRu. Source: Alexandria via LeMat-Bulk, functional PBE.

Formation energy from the elements   -0.44 eV/atom
Magnetization   0.0 μB per cell

Lattice parameters (Å, degrees): 9.106 13.720 6.312 90.00 113.34 90.00
Space group C2/c (No. 15)
Unique sites:
Sm  0.109  0.168  0.066
Sm  0.221  0.429  0.352
Bi  0.000  0.373  0.750
Ru  0.000  0.000  0.250



# 4
A relaxed structure of Sr3GaH. Source: Alexandria via LeMat-Bulk, functional PBE.

Magnetization   1.0 μB per cell
DFT total energy   -2.544 eV/atom

Lattice parameters (Å, degrees): 7.844 4.085 10.212 90.00 94.84 90.00
Space group P2_1/m (No. 11)
Unique sites:
Sr  0.092  0.250  0.336
Sr  0.264  0.250  0.975
Sr  0.374  0.750  0.633
Ga  0.362  0.750  0.220
H  0.121  0.250  0.589